[1]
DFT (GGA-PBE) results for a relaxed KTiMn2 crystal.

## Properties
DFT total energy in Ha/atom: -0.208
DOS(E_F) in states/eV/f.u.: 4.93
Magnetic moment in μB per formula unit: 5.12
ΔH_f (0 K) in eV/atom: 1.186
Space group: I4_1/amd

Geometry as POSCAR:
```
KTiMn2
1.0
5.2962 0.0000 0.0000
0.0000 5.2962 0.0000
0.0000 0.0000 16.5572
K Ti Mn
4 4 8
direct
0.0000 0.2500 0.3750
0.0000 0.7500 0.6250
0.5000 0.2500 0.1250
0.5000 0.7500 0.8750
0.0000 0.2500 0.8750
0.0000 0.7500 0.1250
0.5000 0.2500 0.6250
0.5000 0.7500 0.3750
0.0000 0.0000 0.0000
0.0000 0.5000 0.0000
0.2500 0.2500 0.7500
0.2500 0.7500 0.2500
0.5000 0.0000 0.5000
0.5000 0.5000 0.5000
0.7500 0.2500 0.7500
0.7500 0.7500 0.2500
```

---

[2]
DFT (GGA-PBE) results for a relaxed KTi2Mn crystal.

## Properties
DFT total energy in Ha/atom: -0.201
DOS(E_F) in states/eV/f.u.: 5.64
Magnetic moment in μB per formula unit: 1.51
ΔH_f (0 K) in eV/atom: 1.042
Space group: Fd-3m

Geometry as POSCAR:
```
KTi2Mn
1.0
0.0000 4.9330 4.9330
4.9330 0.0000 4.9330
4.9330 4.9330 0.0000
K Ti Mn
2 4 2
direct
0.1250 0.1250 0.1250
0.8750 0.8750 0.8750
0.0000 0.5000 0.5000
0.5000 0.0000 0.5000
0.5000 0.5000 0.0000
0.5000 0.5000 0.5000
0.3750 0.3750 0.3750
0.6250 0.6250 0.6250
```

---

[3]
DFT (GGA-PBE) results for a relaxed KTiMn2 crystal.

## Properties
DFT total energy in Ha/atom: -0.193
DOS(E_F) in states/eV/f.u.: 7.23
Magnetic moment in μB per formula unit: 0.00
ΔH_f (0 K) in eV/atom: 1.594
Space group: Fm-3m

Geometry as POSCAR:
```
KTiMn2
1.0
6.3873 0.0000 0.0000
0.0000 6.3873 0.0000
0.0000 0.0000 6.3873
K Ti Mn
4 4 8
direct
0.0000 0.0000 0.0000
0.0000 0.5000 0.5000
0.5000 0.0000 0.5000
0.5000 0.5000 0.0000
0.0000 0.0000 0.5000
0.0000 0.5000 0.0000
0.5000 0.0000 0.0000
0.5000 0.5000 0.5000
0.2500 0.2500 0.2500
0.2500 0.2500 0.7500
0.2500 0.7500 0.2500
0.2500 0.7500 0.7500
0.7500 0.2500 0.2500
0.7500 0.2500 0.7500
0.7500 0.7500 0.2500
0.7500 0.7500 0.7500
```

---

- Look up the DOS(E_F) of the first one.
  4.93 states/eV/f.u.